#w
Computed, not measured: Ac2ZnIn3 after structural relaxation at the GGA-PBE level of DFT.

Structure (POSCAR):
```
Ac2ZnIn3
1.0
4.260 0.000 0.000
0.000 4.939 0.000
0.000 0.000 8.569
Ac Zn In
2 1 3
Cartesian
0.000 0.000 0.000 Ac
0.000 2.469 4.204 Ac
2.130 0.000 2.785 Zn
2.130 0.000 5.557 In
2.130 2.469 1.480 In
2.130 2.469 7.112 In
```

Its symmetry is Pmm2, No. 25. The calculated volume comes out at 30.0 Å³/atom. For the total magnetization, the calculation gives 0.00 μB per cell.

=====

#x
Computed, not measured: Ac2ZnIn3 after structural relaxation at the GGA-PBE level of DFT.

Structure (POSCAR):
```
Ac2ZnIn3
1.0
5.921 -2.515 0.000
5.921 2.515 0.000
-5.577 0.000 5.922
Ac Zn In
2 1 3
Cartesian
0.000 0.000 0.000 Ac
-2.345 0.000 3.365 Ac
8.249 0.000 0.102 Zn
3.410 0.000 0.924 In
1.211 0.000 3.564 In
6.077 0.000 2.332 In
```

Its symmetry is Cm, No. 8. The calculated volume comes out at 29.4 Å³/atom. For the total magnetization, the calculation gives 0.00 μB per cell.

=====

Most favorable structure: #x. The second most favorable one is 12 meV per atom above it.

=====

#w
Computed, not measured: Ac2Zn2In3 after structural relaxation at the GGA-PBE level of DFT.

Structure (POSCAR):
```
Ac2Zn2In3
1.0
2.455 -10.470 0.000
2.455 10.470 0.000
0.000 0.000 7.601
Ac Zn In
4 4 6
Cartesian
2.455 9.464 5.701 Ac
2.455 7.018 1.900 Ac
2.455 -7.018 5.701 Ac
2.455 -9.464 1.900 Ac
2.455 3.867 0.532 Zn
2.455 3.867 3.268 Zn
2.455 -3.867 4.333 Zn
2.455 -3.867 7.069 Zn
2.455 5.851 5.701 In
2.455 1.345 4.290 In
2.455 1.345 7.112 In
2.455 -1.345 0.489 In
2.455 -1.345 3.311 In
2.455 -5.851 1.900 In
```

Its symmetry is Cmcm, No. 63. The calculated volume comes out at 27.9 Å³/atom. For the total magnetization, the calculation gives 0.00 μB per cell.

=====

#x
Computed, not measured: Ac2Zn2In3 after structural relaxation at the GGA-PBE level of DFT.

Structure (POSCAR):
```
Ac2Zn2In3
1.0
2.321 -11.063 0.000
2.321 11.063 0.000
0.000 0.000 3.877
Ac Zn In
2 2 3
Cartesian
2.321 7.522 0.000 Ac
2.321 -7.522 0.000 Ac
2.321 4.875 1.938 Zn
2.321 -4.875 1.938 Zn
0.000 0.000 0.000 In
2.321 1.554 1.938 In
2.321 -1.554 1.938 In
```

Its symmetry is Cmmm, No. 65. The calculated volume comes out at 28.4 Å³/atom. For the total magnetization, the calculation gives 0.00 μB per cell.

=====

Most favorable structure: #w. The second most favorable one is 130 meV per atom above it.

=====

#w
Computed, not measured: Ac2Zn3In after structural relaxation at the GGA-PBE level of DFT.

Structure (POSCAR):
```
Ac2Zn3In
1.0
-2.176 2.327 8.173
2.176 -2.327 8.173
2.176 2.327 -8.173
Ac Zn In
2 3 1
Cartesian
0.000 0.000 0.000 Ac
0.000 2.327 4.249 Ac
2.176 0.000 2.900 Zn
2.176 0.000 5.512 Zn
0.000 0.000 6.832 Zn
0.000 0.000 9.632 In
```

Its symmetry is Imm2, No. 44. The calculated volume comes out at 27.6 Å³/atom. For the total magnetization, the calculation gives 0.32 μB per cell.

=====

#x
Computed, not measured: Ac2Zn3In after structural relaxation at the GGA-PBE level of DFT.

Structure (POSCAR):
```
Ac2Zn3In
1.0
0.000 4.795 8.253
4.142 0.000 8.253
4.142 4.795 0.000
Ac Zn In
4 6 2
Cartesian
6.329 4.795 8.253 Ac
2.071 2.397 4.126 Ac
6.213 7.192 12.379 Ac
1.955 4.795 8.253 Ac
4.142 4.795 2.715 Zn
4.142 2.378 6.921 Zn
4.142 2.378 9.584 Zn
4.142 7.211 6.921 Zn
4.142 7.211 9.584 Zn
4.142 4.795 13.790 Zn
4.142 4.795 5.551 In
4.142 4.795 10.954 In
```

Its symmetry is Fmmm, No. 69. The calculated volume comes out at 27.3 Å³/atom. For the total magnetization, the calculation gives 0.00 μB per cell.

=====

Most favorable structure: #x. The second most favorable one is 13 meV per atom above it.

=====

#w
Computed, not measured: AcZrIn after structural relaxation at the GGA-PBE level of DFT.

Structure (POSCAR):
```
AcZrIn
1.0
5.318 0.000 0.000
-2.659 4.606 0.000
0.000 0.000 3.703
Ac Zr In
1 1 1
Cartesian
0.000 0.000 0.000 Ac
0.000 3.070 1.851 Zr
2.659 1.535 1.851 In
```

Its symmetry is P-6m2, No. 187. The calculated volume comes out at 30.2 Å³/atom. For the total magnetization, the calculation gives 0.00 μB per cell.

=====

#x
Computed, not measured: AcZrIn after structural relaxation at the GGA-PBE level of DFT.

Structure (POSCAR):
```
AcZrIn
1.0
-1.815 1.815 6.757
1.815 -1.815 6.757
1.815 1.815 -6.757
Ac Zr In
1 1 1
Cartesian
0.000 0.000 0.000 Ac
0.000 0.000 4.271 Zr
0.000 0.000 9.314 In
```

Its symmetry is I4mm, No. 107. The calculated volume comes out at 29.7 Å³/atom. For the total magnetization, the calculation gives 0.00 μB per cell.

=====

Most favorable structure: #x. The second most favorable one is 64 meV per atom above it.

=====

#w
Computed, not measured: Ac4Ir after structural relaxation at the GGA-PBE level of DFT.

Structure (POSCAR):
```
Ac4Ir
1.0
5.958 0.000 0.000
0.000 5.958 0.000
0.000 0.000 5.958
Ac Ir
4 1
Cartesian
0.000 0.000 0.000 Ac
0.000 2.979 2.979 Ac
2.979 0.000 2.979 Ac
2.979 2.979 0.000 Ac
2.979 2.979 2.979 Ir
```

Its symmetry is Pm-3m, No. 221. The calculated volume comes out at 42.3 Å³/atom. For the total magnetization, the calculation gives 0.01 μB per cell.

=====

#x
Computed, not measured: Ac4Ir after structural relaxation at the GGA-PBE level of DFT.

Structure (POSCAR):
```
Ac4Ir
1.0
4.197 -7.195 0.000
4.197 7.195 0.000
0.000 0.000 6.907
Ac Ir
8 2
Cartesian
2.099 1.239 5.180 Ac
4.197 4.759 5.241 Ac
4.197 2.436 1.787 Ac
2.099 -1.239 1.727 Ac
6.296 1.239 5.180 Ac
4.197 -2.436 5.119 Ac
4.197 -4.759 1.666 Ac
6.296 -1.239 1.727 Ac
0.000 0.000 0.000 Ir
4.197 0.000 3.453 Ir
```

Its symmetry is Cmce, No. 64. The calculated volume comes out at 41.7 Å³/atom. For the total magnetization, the calculation gives 0.01 μB per cell.

=====

Most favorable structure: #x. The second most favorable one is 60 meV per atom above it.

=====

#w
Computed, not measured: KAc2Ir after structural relaxation at the GGA-PBE level of DFT.

Structure (POSCAR):
```
KAc2Ir
1.0
3.809 0.000 0.000
0.000 3.809 0.000
0.000 0.000 11.200
K Ac Ir
1 2 1
Cartesian
0.000 0.000 0.000 K
1.904 1.904 3.886 Ac
1.904 1.904 7.314 Ac
0.000 0.000 5.600 Ir
```

Its symmetry is P4/mmm, No. 123. The calculated volume comes out at 40.6 Å³/atom. For the total magnetization, the calculation gives 0.00 μB per cell.

=====

#x
Computed, not measured: KAc2Ir after structural relaxation at the GGA-PBE level of DFT.

Structure (POSCAR):
```
KAc2Ir
1.0
3.842 -2.216 0.000
3.842 2.216 0.000
-0.039 0.000 10.824
K Ac Ir
1 2 1
Cartesian
0.000 0.000 0.000 K
2.541 0.000 3.877 Ac
5.104 0.000 6.946 Ac
-0.020 0.000 5.412 Ir
```

Its symmetry is C2/m, No. 12. The calculated volume comes out at 46.1 Å³/atom. For the total magnetization, the calculation gives 0.00 μB per cell.

=====

#y
Computed, not measured: KAc2Ir after structural relaxation at the GGA-PBE level of DFT.

Structure (POSCAR):
```
KAc2Ir
1.0
2.201 1.271 11.852
-2.201 1.271 11.852
0.000 -2.541 11.852
K Ac Ir
1 2 1
Cartesian
0.000 0.000 0.000 K
0.000 0.000 4.377 Ac
0.000 0.000 31.178 Ac
0.000 0.000 17.778 Ir
```

Its symmetry is R-3m, No. 166. The calculated volume comes out at 49.7 Å³/atom. For the total magnetization, the calculation gives 0.00 μB per cell.

=====

Most favorable structure: #x. The second most favorable one is 43 meV per atom above it.

=====

#w
Computed, not measured: Ac2LaIr after structural relaxation at the GGA-PBE level of DFT.

Structure (POSCAR):
```
Ac2LaIr
1.0
-2.193 2.860 6.263
2.193 -2.860 6.263
2.193 2.860 -6.263
Ac La Ir
2 1 1
Cartesian
0.000 0.000 2.016 Ac
0.000 0.000 10.510 Ac
0.000 0.000 6.263 La
2.193 0.000 0.000 Ir
```

Its symmetry is Immm, No. 71. The calculated volume comes out at 39.3 Å³/atom. For the total magnetization, the calculation gives 0.00 μB per cell.

=====

#x
Computed, not measured: Ac2LaIr after structural relaxation at the GGA-PBE level of DFT.

Structure (POSCAR):
```
Ac2LaIr
1.0
7.297 0.000 0.000
0.000 6.862 0.000
0.000 0.000 12.356
Ac La Ir
8 4 4
Cartesian
0.641 1.682 0.996 Ac
0.641 1.749 5.183 Ac
3.008 5.113 5.183 Ac
3.008 5.180 0.996 Ac
4.289 1.682 11.361 Ac
4.289 1.749 7.174 Ac
6.656 5.113 7.174 Ac
6.656 5.180 11.361 Ac
0.593 1.715 9.267 La
3.055 5.146 9.267 La
4.242 1.715 3.089 La
6.704 5.146 3.089 La
1.824 0.000 11.164 Ir
1.824 3.431 7.371 Ir
5.473 0.000 1.192 Ir
5.473 3.431 4.986 Ir
```

Its symmetry is Pnna, No. 52. The calculated volume comes out at 38.7 Å³/atom. For the total magnetization, the calculation gives 0.00 μB per cell.

=====

Most favorable structure: #x. The second most favorable one is 6 meV per atom above it.

=====

#w
Computed, not measured: AcLaIr2 after structural relaxation at the GGA-PBE level of DFT.

Structure (POSCAR):
```
AcLaIr2
1.0
0.000 3.655 3.655
3.655 0.000 3.655
3.655 3.655 0.000
Ac La Ir
1 1 2
Cartesian
0.000 0.000 0.000 Ac
3.655 3.655 3.655 La
1.827 1.827 1.827 Ir
5.482 5.482 5.482 Ir
```

Its symmetry is Fm-3m, No. 225. The calculated volume comes out at 24.4 Å³/atom. For the total magnetization, the calculation gives 0.00 μB per cell.

=====

#x
Computed, not measured: AcLaIr2 after structural relaxation at the GGA-PBE level of DFT.

Structure (POSCAR):
```
AcLaIr2
1.0
3.728 0.000 0.000
0.000 3.728 0.000
0.000 0.000 6.986
Ac La Ir
1 1 2
Cartesian
0.000 0.000 0.000 Ac
0.000 0.000 3.493 La
1.864 1.864 1.853 Ir
1.864 1.864 5.133 Ir
```

Its symmetry is P4/mmm, No. 123. The calculated volume comes out at 24.3 Å³/atom. For the total magnetization, the calculation gives 0.00 μB per cell.

=====

Most favorable structure: #x. The second most favorable one is 14 meV per atom above it.

=====

#w
Computed, not measured: AcLa2Ir after structural relaxation at the GGA-PBE level of DFT.

Structure (POSCAR):
```
AcLa2Ir
1.0
2.041 1.178 11.041
-2.041 1.178 11.041
0.000 -2.357 11.041
Ac La Ir
1 2 1
Cartesian
0.000 0.000 0.000 Ac
0.000 0.000 3.921 La
0.000 0.000 29.203 La
0.000 0.000 16.562 Ir
```

Its symmetry is R-3m, No. 166. The calculated volume comes out at 39.8 Å³/atom. For the total magnetization, the calculation gives 0.08 μB per cell.

=====

#x
Computed, not measured: AcLa2Ir after structural relaxation at the GGA-PBE level of DFT.

Structure (POSCAR):
```
AcLa2Ir
1.0
3.713 0.000 0.000
0.000 3.713 0.000
0.000 0.000 9.517
Ac La Ir
1 2 1
Cartesian
0.000 0.000 0.000 Ac
1.857 1.857 3.126 La
1.857 1.857 6.391 La
0.000 0.000 4.759 Ir
```

Its symmetry is P4/mmm, No. 123. The calculated volume comes out at 32.8 Å³/atom. For the total magnetization, the calculation gives 0.00 μB per cell.

=====

Most favorable structure: #x. The second most favorable one is 29 meV per atom above it.

=====

#w
Computed, not measured: AcLa2Ir after structural relaxation at the GGA-PBE level of DFT.

Structure (POSCAR):
```
AcLa2Ir
1.0
2.091 1.207 9.705
-2.091 1.207 9.705
0.000 -2.415 9.705
Ac La Ir
1 2 1
Cartesian
0.000 0.000 0.000 Ac
0.000 0.000 16.089 La
0.000 0.000 22.680 La
0.000 0.000 4.818 Ir
```

Its symmetry is R3m, No. 160. The calculated volume comes out at 36.8 Å³/atom. For the total magnetization, the calculation gives 0.00 μB per cell.

=====

#x
Computed, not measured: AcLa2Ir after structural relaxation at the GGA-PBE level of DFT.

Structure (POSCAR):
```
AcLa2Ir
1.0
7.544 0.000 0.000
0.000 10.374 0.000
0.000 0.000 6.709
Ac La Ir
4 8 4
Cartesian
0.281 2.593 0.989 Ac
3.490 7.780 4.343 Ac
4.053 2.593 2.365 Ac
7.262 7.780 5.719 Ac
1.274 0.731 4.502 La
1.274 4.456 4.502 La
2.498 5.918 1.148 La
2.498 9.643 1.148 La
5.046 0.731 5.561 La
5.046 4.456 5.561 La
6.269 5.918 2.207 La
6.269 9.643 2.207 La
0.900 7.780 2.755 Ir
2.872 2.593 6.109 Ir
4.671 7.780 0.599 Ir
6.644 2.593 3.953 Ir
```

Its symmetry is Pnma, No. 62. The calculated volume comes out at 32.8 Å³/atom. For the total magnetization, the calculation gives 0.00 μB per cell.

=====

Most favorable structure: #x. The second most favorable one is 59 meV per atom above it.

=====

#w
Computed, not measured: AcLaIrRh after structural relaxation at the GGA-PBE level of DFT.

Structure (POSCAR):
```
AcLaIrRh
1.0
0.000 3.655 3.655
3.655 0.000 3.655
3.655 3.655 0.000
Ac La Ir Rh
1 1 1 1
Cartesian
0.000 0.000 0.000 Ac
3.655 3.655 3.655 La
5.482 5.482 5.482 Ir
1.827 1.827 1.827 Rh
```

Its symmetry is F-43m, No. 216. The calculated volume comes out at 24.4 Å³/atom. For the total magnetization, the calculation gives 0.00 μB per cell.

=====

#x
Computed, not measured: AcLaIrRh after structural relaxation at the GGA-PBE level of DFT.

Structure (POSCAR):
```
AcLaIrRh
1.0
4.356 0.000 0.000
0.000 2.038 5.671
0.000 -2.038 5.671
Ac La Ir Rh
1 1 1 1
Cartesian
0.000 0.000 0.000 Ac
2.178 0.000 3.163 La
2.178 0.000 6.363 Ir
0.000 0.000 8.258 Rh
```

Its symmetry is Amm2, No. 38. The calculated volume comes out at 25.2 Å³/atom. For the total magnetization, the calculation gives 0.00 μB per cell.

=====

Most favorable structure: #x. The second most favorable one is 104 meV per atom above it.

=====

#w
Computed, not measured: LiAc3Ir after structural relaxation at the GGA-PBE level of DFT.

Structure (POSCAR):
```
LiAc3Ir
1.0
5.905 0.000 0.000
0.000 5.905 0.000
0.000 0.000 5.905
Li Ac Ir
1 3 1
Cartesian
0.000 0.000 0.000 Li
0.000 2.952 2.952 Ac
2.952 0.000 2.952 Ac
2.952 2.952 0.000 Ac
2.952 2.952 2.952 Ir
```

Its symmetry is Pm-3m, No. 221. The calculated volume comes out at 41.2 Å³/atom. For the total magnetization, the calculation gives 0.00 μB per cell.

=====

#x
Computed, not measured: LiAc3Ir after structural relaxation at the GGA-PBE level of DFT.

Structure (POSCAR):
```
LiAc3Ir
1.0
6.729 -3.024 0.000
6.729 3.024 0.000
-3.526 0.000 9.178
Li Ac Ir
2 6 2
Cartesian
-0.411 0.000 4.050 Li
10.343 0.000 5.129 Li
-1.457 0.000 8.486 Ac
3.394 0.000 3.246 Ac
2.577 0.000 7.209 Ac
7.356 0.000 1.969 Ac
6.538 0.000 5.932 Ac
11.390 0.000 0.693 Ac
4.732 0.000 0.685 Ir
5.200 0.000 8.494 Ir
```

Its symmetry is C2/m, No. 12. The calculated volume comes out at 37.3 Å³/atom. For the total magnetization, the calculation gives 0.00 μB per cell.

=====

Most favorable structure: #x. The second most favorable one is 44 meV per atom above it.